## Tb2SmDyH (PBE-GGA)

Data for a relaxed Tb2SmDyH crystal.

Values from the calculation:
space-group type	P4/mmm
crystal system	tetragonal
M_tot	0.0	μB/f.u.
E	-4.5569	eV/atom

Cell lengths 5.019, 5.020, 5.020 Å; angles 90.00, 90.00, 90.00 degrees
Positions (direct):
Tb1 0.000 0.000 0.500
Tb2 0.000 0.500 0.000
Sm1 0.500 0.500 0.500
Dy1 0.500 0.000 0.000
H1 0.000 0.000 0.000